The following is a PBE with a Hubbard U calculation of an optimized crystal structure of TlVF3, from Alexandria.

Unit cell a=4.2771 b=4.2771 c=4.2771 alpha=90.00 beta=90.00 gamma=90.00
Fractional coordinates of all 5 atoms:
Tl 0.5000 0.5000 0.5000
V 0.0000 0.0000 0.0000
F 0.0000 0.5000 0.0000
F 0.0000 0.0000 0.5000
F 0.5000 0.0000 0.0000

Output
Final energy (eV/atom): -5.424
Mass density (g cm⁻³): 6.63
Offset from the most stable computed form (meV per atom): 0
Total magnetization (μB/f.u.): 3.000